# 1
The following is a GGA-PBE calculation of a geometry-optimized ErBiRuRh structure, from Alexandria.

Cell lengths 4.755, 4.755, 4.755 Å; angles 60.00, 60.00, 60.00 degrees
Each line ends with the local moment (μB).
Atoms (fractional coordinates):
Ru1 0.750 0.750 0.750  0.44
Rh1 0.250 0.250 0.250  0.33
Bi1 0.000 0.000 0.000  0.03
Er1 0.500 0.500 0.500  -0.01

Computed properties:
Density of states at the Fermi level   3.59 states/eV per cell
Symmetry   No. 216
Final energy   -26.44 eV per cell
Magnetization   0.8 μB/f.u.
DFT formation energy   -341 meV per atom


# 2
The following is a GGA-PBE calculation of a geometry-optimized Er5BiRu structure, from Alexandria.

Cell lengths 7.294, 7.294, 9.698 Å; angles 75.08, 75.08, 71.61 degrees
Atoms (fractional coordinates):
Er1 0.370 0.824 0.028
Er2 0.896 0.104 0.250
Er3 0.097 0.337 0.851
Er4 0.104 0.896 0.750
Er5 0.176 0.630 0.472
Er6 0.824 0.370 0.528
Er7 0.663 0.903 0.649
Er8 0.630 0.176 0.972
Er9 0.903 0.663 0.149
Er10 0.337 0.097 0.351
Bi1 0.460 0.540 0.750
Bi2 0.540 0.460 0.250
Ru1 0.000 0.000 0.000
Ru2 0.000 0.000 0.500

Computed properties:
Density of states at the Fermi level   12.40 states/eV per cell
Symmetry   No. 15
Final energy   -73.71 eV per cell
Magnetization   0.0 μB/f.u.
DFT formation energy   -127 meV per atom


# 3
The following is a GGA-PBE calculation of a geometry-optimized Er5Bi2Ru structure, from Alexandria.

Cell lengths 5.512, 8.261, 14.519 Å; angles 90.00, 90.00, 109.49 degrees
Atoms (fractional coordinates):
Er1 0.722 0.444 0.893
Er2 0.278 0.556 0.393
Er3 0.052 0.104 0.374
Er4 0.052 0.104 0.126
Er5 0.722 0.444 0.607
Er6 0.278 0.556 0.107
Er7 0.948 0.896 0.626
Er8 0.303 0.607 0.750
Er9 0.697 0.393 0.250
Er10 0.948 0.896 0.874
Bi1 0.143 0.286 0.933
Bi2 0.143 0.286 0.567
Bi3 0.857 0.714 0.433
Bi4 0.857 0.714 0.067
Ru1 0.172 0.344 0.250
Ru2 0.828 0.656 0.750

Computed properties:
Density of states at the Fermi level   10.57 states/eV per cell
Symmetry   No. 63
Final energy   -82.75 eV per cell
Magnetization   0.0 μB/f.u.
DFT formation energy   -190 meV per atom


# 4
The following is a GGA-PBE calculation of a geometry-optimized Er5Bi4Ru structure, from Alexandria.

Cell lengths 6.243, 7.527, 7.527 Å; angles 80.10, 65.50, 65.50 degrees
Atoms (fractional coordinates):
Bi1 0.609 0.614 0.216
Bi2 0.825 0.784 0.614
Bi3 0.438 0.386 0.784
Bi4 0.222 0.216 0.386
Er1 0.389 0.000 0.000
Er2 0.928 0.358 0.827
Er3 0.286 0.827 0.642
Er4 0.755 0.173 0.358
Er5 0.113 0.642 0.173
Ru1 0.945 0.000 0.000

Computed properties:
Density of states at the Fermi level   4.57 states/eV per cell
Symmetry   No. 79
Final energy   -53.42 eV per cell
Magnetization   0.0 μB/f.u.
DFT formation energy   -581 meV per atom